[1]
Below is a relaxed ZnNi2 crystal, with properties calculated at the PBE level.

The structure in POSCAR format:
```
ZnNi2
1.0
6.485 -1.298 0.000
6.485 1.298 0.000
-1.288 0.000 4.148
Zn Ni
2 4
direct
0.086 0.086 0.264 Zn
0.914 0.914 0.736 Zn
0.249 0.249 0.756 Ni
0.415 0.415 0.240 Ni
0.585 0.585 0.760 Ni
0.751 0.751 0.244 Ni
```

Summary:
- Calculated volume: 11.64 Å³ per atom
- Energy of formation from the pure elements: -0.145 eV per atom
- Total moment: 0.000 μB per atom
- Density of states at the Fermi level: 5.18 states/eV/cell
- Space group: C2/m
- Calculated total energy: -0.3252 Ry/atom



[2]
Below is a relaxed BaIn2Ga crystal, with properties calculated at the PBE level.

The structure in POSCAR format:
```
BaIn2Ga
1.0
7.575 0.000 0.000
0.000 2.575 6.048
0.000 -2.575 6.048
Ba In Ga
2 4 2
direct
0.000 0.000 0.000 Ba
0.500 0.195 0.195 Ba
0.000 0.293 0.293 In
0.300 0.486 0.486 In
0.500 0.895 0.895 In
0.700 0.486 0.486 In
0.186 0.717 0.717 Ga
0.814 0.717 0.717 Ga
```

Summary:
- Calculated volume: 29.49 Å³ per atom
- Energy of formation from the pure elements: -0.339 eV per atom
- Total moment: 0.000 μB per atom
- Density of states at the Fermi level: 3.56 states/eV/cell
- Space group: Amm2
- Calculated total energy: -0.2165 Ry/atom



[3]
Below is a relaxed RbSnAs crystal, with properties calculated at the PBE level.

The structure in POSCAR format:
```
RbSnAs
1.0
7.608 0.000 0.000
0.000 6.550 0.000
-2.194 0.000 7.908
Rb Sn As
4 4 4
direct
0.112 0.133 0.222 Rb
0.112 0.367 0.722 Rb
0.888 0.633 0.278 Rb
0.888 0.867 0.778 Rb
0.497 0.717 0.429 Sn
0.497 0.783 0.929 Sn
0.503 0.217 0.071 Sn
0.503 0.283 0.571 Sn
0.284 0.618 0.114 As
0.284 0.882 0.614 As
0.716 0.118 0.386 As
0.716 0.382 0.886 As
```

Summary:
- Calculated volume: 32.84 Å³ per atom
- Energy of formation from the pure elements: -0.304 eV per atom
- Total moment: 0.000 μB per atom
- Density of states at the Fermi level: 0.32 states/eV/cell
- Space group: P2_1/c
- Calculated total energy: -0.2580 Ry/atom



[4]
Below is a relaxed TmSc5In2 crystal, with properties calculated at the PBE level.

The structure in POSCAR format:
```
TmSc5In2
1.0
2.367 -5.492 0.000
2.367 5.492 0.000
0.000 0.000 15.711
Tm Sc In
2 10 4
direct
0.223 0.777 0.750 Tm
0.777 0.223 0.250 Tm
0.058 0.942 0.250 Sc
0.132 0.868 0.541 Sc
0.132 0.868 0.959 Sc
0.446 0.554 0.600 Sc
0.446 0.554 0.900 Sc
0.554 0.446 0.100 Sc
0.554 0.446 0.400 Sc
0.868 0.132 0.041 Sc
0.868 0.132 0.459 Sc
0.942 0.058 0.750 Sc
0.264 0.736 0.125 In
0.264 0.736 0.375 In
0.736 0.264 0.625 In
0.736 0.264 0.875 In
```

Summary:
- Calculated volume: 25.53 Å³ per atom
- Energy of formation from the pure elements: -0.116 eV per atom
- Total moment: 0.000 μB per atom
- ΔE to the lowest computed polymorph: 3.65 kcal/mol of atoms
- Density of states at the Fermi level: 25.43 states/eV/cell
- Space group: Cmcm
- Calculated total energy: -0.3908 Ry/atom



[5]
Below is a relaxed ZrAsCl2 crystal, with properties calculated at the PBE level.

The structure in POSCAR format:
```
ZrAsCl2
1.0
4.111 0.000 0.000
0.000 3.600 0.000
-2.030 0.000 7.560
Zr As Cl
1 1 2
direct
0.000 0.000 0.000 Zr
0.467 0.500 0.933 As
0.128 0.500 0.260 Cl
0.840 0.000 0.678 Cl
```

Summary:
- Calculated volume: 27.97 Å³ per atom
- Total moment: 0.228 μB per atom
- Formation energy from raw total energies: -1.0272 eV per atom
- ΔE to the lowest computed polymorph: 0.90 kcal/mol of atoms
- Density of states at the Fermi level: 0.95 states/eV/cell
- Space group: Pm
- Calculated total energy: -0.3859 Ry/atom



[6]
Below is a relaxed TcPI2N crystal, with properties calculated at the PBE level.

The structure in POSCAR format:
```
TcPI2N
1.0
5.487 0.000 0.000
0.000 5.487 0.000
0.000 0.000 3.744
Tc P I N
1 1 2 1
direct
0.000 0.000 0.000 Tc
0.500 0.500 0.500 P
0.000 0.500 0.000 I
0.500 0.000 0.000 I
0.000 0.000 0.500 N
```

Summary:
- Calculated volume: 22.54 Å³ per atom
- Total moment: 0.000 μB per atom
- Formation energy from raw total energies: 0.7797 eV per atom
- ΔE to the lowest computed polymorph: 0.00 kcal/mol of atoms
- Density of states at the Fermi level: 5.83 states/eV/cell
- Space group: P4/mmm
- Calculated total energy: -0.3425 Ry/atom



[7]
Below is a relaxed NaCaAgBr4 crystal, with properties calculated at the PBE level.

The structure in POSCAR format:
```
NaCaAgBr4
1.0
-4.225 4.331 6.055
4.225 -4.331 6.055
4.225 4.331 -6.055
Na Ca Ag Br
2 2 2 8
direct
0.500 0.000 0.000 Na
0.500 0.500 0.500 Na
0.000 0.000 0.000 Ca
0.500 0.000 0.500 Ca
0.108 0.358 0.750 Ag
0.892 0.642 0.250 Ag
0.250 0.237 0.486 Br
0.250 0.764 0.014 Br
0.252 0.239 0.013 Br
0.274 0.761 0.513 Br
0.726 0.239 0.487 Br
0.748 0.761 0.987 Br
0.750 0.236 0.986 Br
0.750 0.763 0.514 Br
```

Summary:
- Calculated volume: 31.65 Å³ per atom
- Total moment: 0.000 μB per atom
- Formation energy from raw total energies: -1.4122 eV per atom
- Density of states at the Fermi level: 0.00 states/eV/cell
- Space group: Imma
- Calculated total energy: -0.2389 Ry/atom



[8]
Below is a relaxed Ac2La4PmNd crystal, with properties calculated at the PBE level.

The structure in POSCAR format:
```
Ac2La4PmNd
1.0
6.503 0.000 0.000
0.000 3.805 0.000
-2.296 0.000 12.391
Ac La Pm Nd
2 4 1 1
direct
0.000 0.000 0.000 Ac
0.000 0.500 0.500 Ac
0.254 0.000 0.752 La
0.255 0.500 0.253 La
0.745 0.500 0.747 La
0.746 0.000 0.248 La
0.500 0.000 0.500 Pm
0.500 0.500 0.000 Nd
```

Summary:
- Calculated volume: 38.32 Å³ per atom
- Energy of formation from the pure elements: 0.025 eV per atom
- Total moment: 0.000 μB per atom
- Density of states at the Fermi level: 15.67 states/eV/cell
- Space group: P2/m
- Calculated total energy: -0.3422 Ry/atom



[9]
Below is a relaxed Cs3TlZn2F9 crystal, with properties calculated at the PBE level.

The structure in POSCAR format:
```
Cs3TlZn2F9
1.0
6.275 0.000 0.000
-3.137 5.434 0.000
0.000 0.000 7.733
Cs Tl Zn F
3 1 2 9
direct
0.000 0.000 0.000 Cs
0.333 0.667 0.669 Cs
0.667 0.333 0.331 Cs
0.000 0.000 0.500 Tl
0.333 0.667 0.151 Zn
0.667 0.333 0.849 Zn
0.000 0.500 0.000 F
0.181 0.361 0.312 F
0.181 0.819 0.312 F
0.361 0.181 0.688 F
0.500 0.000 0.000 F
0.500 0.500 0.000 F
0.639 0.819 0.312 F
0.819 0.181 0.688 F
0.819 0.639 0.688 F
```

Summary:
- Calculated volume: 17.58 Å³ per atom
- Total moment: 0.000 μB per atom
- Formation energy from raw total energies: -2.3851 eV per atom
- Density of states at the Fermi level: 2.90 states/eV/cell
- Space group: P-3m1
- Calculated total energy: -0.2944 Ry/atom



[10]
Below is a relaxed MnBi3Br crystal, with properties calculated at the PBE level.

The structure in POSCAR format:
```
MnBi3Br
1.0
5.265 0.000 0.000
0.000 5.265 0.000
0.000 0.000 5.265
Mn Bi Br
1 3 1
direct
0.000 0.000 0.000 Mn
0.000 0.000 0.500 Bi
0.000 0.500 0.000 Bi
0.500 0.000 0.000 Bi
0.500 0.500 0.500 Br
```

Summary:
- Calculated volume: 29.18 Å³ per atom
- Total moment: 0.507 μB per atom
- Formation energy from raw total energies: 0.2550 eV per atom
- ΔE to the lowest computed polymorph: 0.00 kcal/mol of atoms
- Density of states at the Fermi level: 5.68 states/eV/cell
- Space group: Pm-3m
- Calculated total energy: -0.3118 Ry/atom



[11]
Below is a relaxed NiPd4Au5 crystal, with properties calculated at the PBE level.

The structure in POSCAR format:
```
NiPd4Au5
1.0
7.120 -2.036 0.000
7.120 2.036 0.000
-3.350 0.000 6.052
Ni Pd Au
1 4 5
direct
0.000 0.000 0.000 Ni
0.171 0.171 0.404 Pd
0.483 0.483 0.766 Pd
0.517 0.517 0.234 Pd
0.829 0.829 0.596 Pd
0.000 0.000 0.500 Au
0.317 0.317 0.875 Au
0.339 0.339 0.301 Au
0.661 0.661 0.699 Au
0.683 0.683 0.125 Au
```

Summary:
- Calculated volume: 17.54 Å³ per atom
- Energy of formation from the pure elements: 0.086 eV per atom
- Total moment: 0.108 μB per atom
- Density of states at the Fermi level: 8.98 states/eV/cell
- Space group: C2/m
- Calculated total energy: -0.3093 Ry/atom



[12]
Below is a relaxed NiAs crystal, with properties calculated at the PBE level.

The structure in POSCAR format:
```
NiAs
1.0
1.843 1.064 6.323
-1.843 1.064 6.323
0.000 -2.128 6.323
Ni As
2 2
direct
0.127 0.127 0.127 Ni
0.873 0.873 0.873 Ni
0.253 0.253 0.253 As
0.747 0.747 0.747 As
```

Summary:
- Calculated volume: 18.60 Å³ per atom
- Energy of formation from the pure elements: -0.078 eV per atom
- Total moment: 0.000 μB per atom
- Density of states at the Fermi level: 1.78 states/eV/cell
- Space group: R-3m
- Calculated total energy: -0.3891 Ry/atom